No. 1
VASP calculation (GGA-PBE) on crystalline CsHgSe at its relaxed geometry.

Unit cell a=12.136 b=4.602 c=8.931 alpha=90.00 beta=123.36 gamma=90.00
Space group C2/m (No. 12)
One atom of each set of equivalent atoms:
Cs1 0.062 0.000 0.344
Hg1 0.134 0.500 0.053
Se1 0.203 0.500 0.776

Output
ΔE to the lowest computed polymorph	0.022	eV/atom
crystal system	monoclinic
E	-2.230	eV per atom
ΔE_f (raw)	-0.684	eV per atom

---

No. 2
VASP calculation (GGA-PBE) on crystalline Cs3Hg2Se4 at its relaxed geometry.

Unit cell a=18.826 b=4.850 c=8.082 alpha=90.00 beta=113.41 gamma=90.00
Space group C2/m (No. 12)
One atom of each set of equivalent atoms:
Cs1 0.000 0.000 0.000
Cs2 0.140 0.000 0.554
Hg1 0.165 0.500 0.951
Se1 0.021 0.500 0.681
Se2 0.208 0.000 0.150

Output
ΔE to the lowest computed polymorph	0.000	eV/atom
crystal system	monoclinic
E	-2.607	eV per atom
ΔE_f (raw)	-0.707	eV per atom

---

No. 3
VASP calculation (GGA-PBE) on crystalline Cs2HgSe at its relaxed geometry.

Unit cell a=8.049 b=8.049 c=18.733 alpha=90.00 beta=90.00 gamma=90.00
Space group I-42d (No. 122)
One atom of each set of equivalent atoms:
Cs1 0.175 0.250 0.125
Hg1 0.000 0.000 0.500
Se1 0.000 0.000 0.000

Output
ΔE to the lowest computed polymorph	0.207	eV/atom
crystal system	tetragonal
E	-1.941	eV per atom
ΔE_f (raw)	-0.567	eV per atom

---

No. 4
VASP calculation (GGA-PBE) on crystalline Cs3HgSe at its relaxed geometry.

Unit cell a=7.007 b=7.007 c=7.007 alpha=90.00 beta=90.00 gamma=90.00
Space group Pm-3m (No. 221)
One atom of each set of equivalent atoms:
Cs1 0.000 0.000 0.500
Hg1 0.500 0.500 0.500
Se1 0.000 0.000 0.000

Output
ΔE to the lowest computed polymorph	0.051	eV/atom
crystal system	cubic
E	-1.869	eV per atom
ΔE_f (raw)	-0.599	eV per atom

---

No. 5
VASP calculation (GGA-PBE) on crystalline CsHgSe at its relaxed geometry.

Unit cell a=4.885 b=5.449 c=4.899 alpha=90.00 beta=113.23 gamma=90.00
Space group Pm (No. 6)
One atom of each set of equivalent atoms:
Cs1 0.000 0.000 0.000
Hg1 0.316 0.500 0.678
Se1 0.704 0.500 0.289

Output
ΔE to the lowest computed polymorph	0.111	eV/atom
crystal system	monoclinic
E	-2.142	eV per atom
ΔE_f (raw)	-0.595	eV per atom

---

No. 6
VASP calculation (GGA-PBE) on crystalline CsHgSe at its relaxed geometry.

Unit cell a=11.950 b=4.769 c=8.002 alpha=90.00 beta=99.25 gamma=90.00
Space group C2/m (No. 12)
One atom of each set of equivalent atoms:
Cs1 0.120 0.000 0.316
Hg1 0.108 0.500 0.949
Se1 0.182 0.000 0.795

Output
ΔE to the lowest computed polymorph	0.021	eV/atom
crystal system	monoclinic
E	-2.231	eV per atom
ΔE_f (raw)	-0.685	eV per atom

---

No. 7
VASP calculation (GGA-PBE) on crystalline Cs3Hg2Se4 at its relaxed geometry.

Unit cell a=15.439 b=4.520 c=10.378 alpha=90.00 beta=115.39 gamma=90.00
Space group C2/m (No. 12)
One atom of each set of equivalent atoms:
Cs1 0.000 0.000 0.000
Cs2 0.107 0.500 0.699
Hg1 0.185 0.500 0.329
Se1 0.121 0.000 0.415
Se2 0.206 0.500 0.093

Output
ΔE to the lowest computed polymorph	0.030	eV/atom
crystal system	monoclinic
E	-2.577	eV per atom
ΔE_f (raw)	-0.677	eV per atom

---

No. 8
VASP calculation (GGA-PBE) on crystalline Cs4Hg2Se at its relaxed geometry.

Unit cell a=6.868 b=6.868 c=21.559 alpha=90.00 beta=90.00 gamma=90.00
Space group I4/mmm (No. 139)
One atom of each set of equivalent atoms:
Cs1 0.000 0.000 0.187
Cs2 0.000 0.500 0.000
Hg1 0.000 0.000 0.363
Se1 0.000 0.000 0.500

Output
crystal system	tetragonal
E	-1.445	eV per atom
ΔE_f (raw)	-0.373	eV per atom

---

No. 9
VASP calculation (GGA-PBE) on crystalline Cs2Hg2Se at its relaxed geometry.

Unit cell a=8.768 b=8.768 c=5.327 alpha=90.00 beta=90.00 gamma=90.00
Space group P4/mbm (No. 127)
One atom of each set of equivalent atoms:
Cs1 0.183 0.317 0.000
Hg1 0.128 0.628 0.500
Se1 0.000 0.000 0.500

Output
ΔE to the lowest computed polymorph	0.000	eV/atom
crystal system	tetragonal
E	-1.617	eV per atom
ΔE_f (raw)	-0.458	eV per atom

---

No. 10
VASP calculation (GGA-PBE) on crystalline CsHgSe2 at its relaxed geometry.

Unit cell a=8.345 b=8.345 c=8.234 alpha=90.00 beta=90.00 gamma=90.00
Space group I-42d (No. 122)
One atom of each set of equivalent atoms:
Cs1 0.000 0.000 0.000
Hg1 0.000 0.000 0.500
Se1 0.152 0.750 0.625

Output
crystal system	tetragonal
E	-2.503	eV per atom
ΔE_f (raw)	-0.472	eV per atom

---

No. 11
VASP calculation (GGA-PBE) on crystalline Cs2Hg2Se at its relaxed geometry.

Unit cell a=9.089 b=9.089 c=6.267 alpha=90.00 beta=90.00 gamma=90.00
Space group P4/mbm (No. 127)
One atom of each set of equivalent atoms:
Cs1 0.160 0.340 0.000
Hg1 0.146 0.646 0.500
Se1 0.000 0.000 0.000

Output
ΔE to the lowest computed polymorph	0.036	eV/atom
crystal system	tetragonal
E	-1.581	eV per atom
ΔE_f (raw)	-0.422	eV per atom